Ca2SnS4 at its PBEsol-relaxed geometry, computed with SCAN.

The structure in POSCAR format:
```
Ca2SnS4
1.0
0.000 5.568 5.568
5.568 0.000 5.568
5.568 5.568 0.000
Ca Sn S
4 2 8
direct
0.000 0.000 0.000
0.000 0.000 0.500
0.000 0.500 0.000
0.500 0.000 0.000
0.375 0.375 0.375
0.625 0.625 0.625
0.249 0.750 0.750
0.250 0.250 0.250
0.250 0.250 0.751
0.250 0.751 0.250
0.750 0.249 0.750
0.750 0.750 0.249
0.750 0.750 0.750
0.751 0.250 0.250
```

Its formation energy from raw total energies is -1.490 eV per atom. The relative energy among the computed polymorphs is 84 meV per atom.

---

AlTcMoO2 at its PBEsol-relaxed geometry, computed with SCAN.

The structure in POSCAR format:
```
AlTcMoO2
1.0
3.517 0.000 0.000
0.000 3.517 0.000
0.000 0.000 5.338
Al Tc Mo O
1 1 1 2
direct
0.000 0.000 0.000
0.000 0.000 0.500
0.500 0.500 0.500
0.000 0.500 0.000
0.500 0.000 0.000
```

Its formation energy from raw total energies is -0.237 eV per atom.

---

CaFeHg at its PBEsol-relaxed geometry, computed with SCAN.

The structure in POSCAR format:
```
CaFeHg
1.0
0.000 3.320 3.320
3.320 0.000 3.320
3.320 3.320 0.000
Ca Fe Hg
1 1 1
direct
0.000 0.000 0.000
0.500 0.500 0.500
0.250 0.250 0.250
```

The calculated formation energy comes out at 0.75 eV/f.u.

---

Cu3Br at its PBEsol-relaxed geometry, computed with SCAN.

The structure in POSCAR format:
```
Cu3Br
1.0
3.165 0.000 0.000
0.000 3.165 0.000
0.000 0.000 5.763
Cu Br
3 1
direct
0.000 0.000 0.000
0.500 0.500 0.206
0.500 0.500 0.794
0.000 0.000 0.500
```

Its formation energy from raw total energies is 0.264 eV per atom. The relative energy among the computed polymorphs is 0 meV per atom.

---

Na4EuGe2Se6 at its PBEsol-relaxed geometry, computed with SCAN.

The structure in POSCAR format:
```
Na4EuGe2Se6
1.0
3.533 -6.105 0.000
3.533 6.105 0.000
-2.342 0.000 7.597
Na Eu Ge Se
4 1 2 6
direct
0.000 0.000 0.000
0.344 0.656 0.000
0.674 0.326 0.000
0.839 0.161 0.500
0.507 0.493 0.500
0.121 0.776 0.341
0.224 0.879 0.659
0.095 0.425 0.251
0.260 0.234 0.749
0.409 0.068 0.249
0.575 0.905 0.749
0.766 0.740 0.251
0.932 0.591 0.751
```

Its formation energy from raw total energies is -1.153 eV per atom.

---

Li3SbF at its PBEsol-relaxed geometry, computed with SCAN.

The structure in POSCAR format:
```
Li3SbF
1.0
5.206 0.000 0.000
0.000 5.206 0.000
0.000 0.000 5.206
Li Sb F
3 1 1
direct
0.000 0.000 0.500
0.000 0.500 0.000
0.500 0.000 0.000
0.000 0.000 0.000
0.500 0.500 0.500
```

Its formation energy from raw total energies is -0.538 eV per atom. The relative energy among the computed polymorphs is 938 meV per atom.

---

TaCoPt2F at its PBEsol-relaxed geometry, computed with SCAN.

The structure in POSCAR format:
```
TaCoPt2F
1.0
4.790 0.000 0.000
0.000 4.790 0.000
0.000 0.000 4.466
Ta Co Pt F
1 1 2 1
direct
0.000 0.000 0.000
0.000 0.000 0.500
0.000 0.500 0.000
0.500 0.000 0.000
0.500 0.500 0.500
```

Its formation energy from raw total energies is 1.109 eV per atom.

---

Y2Co2O5 at its PBEsol-relaxed geometry, computed with SCAN.

The structure in POSCAR format:
```
Y2Co2O5
1.0
3.697 0.000 0.000
0.000 3.697 0.000
0.000 0.000 6.639
Y Co O
2 2 5
direct
0.000 0.000 0.000
0.000 0.000 0.500
0.500 0.500 0.191
0.500 0.500 0.809
0.000 0.500 0.228
0.000 0.500 0.772
0.500 0.000 0.228
0.500 0.000 0.772
0.500 0.500 0.500
```

Its formation energy from raw total energies is -2.481 eV per atom.

---

AsP2Pb at its PBEsol-relaxed geometry, computed with SCAN.

The structure in POSCAR format:
```
AsP2Pb
1.0
3.468 0.000 0.000
0.000 4.645 0.000
0.000 0.000 4.789
As P Pb
1 2 1
direct
0.000 0.000 0.000
0.000 0.500 0.500
0.500 0.500 0.000
0.500 0.000 0.500
```

The relative energy among the computed polymorphs is 518 meV per atom. The calculated formation energy comes out at 3.03 eV/f.u.

---

ScCdAg2 at its PBEsol-relaxed geometry, computed with SCAN.

The structure in POSCAR format:
```
ScCdAg2
1.0
0.000 3.316 3.316
3.316 0.000 3.316
3.316 3.316 0.000
Sc Cd Ag
1 1 2
direct
0.000 0.000 0.000
0.250 0.250 0.250
0.500 0.500 0.500
0.750 0.750 0.750
```

The calculated formation energy comes out at -0.84 eV/f.u.

---

CaMo2CN at its PBEsol-relaxed geometry, computed with SCAN.

The structure in POSCAR format:
```
CaMo2CN
1.0
4.593 0.000 0.000
0.000 4.593 0.000
0.000 0.000 3.797
Ca Mo C N
1 2 1 1
direct
0.000 0.000 0.000
0.000 0.500 0.000
0.500 0.000 0.000
0.000 0.000 0.500
0.500 0.500 0.500
```

Its formation energy from raw total energies is 4.055 eV per atom.

---

ZrBiSN2 at its PBEsol-relaxed geometry, computed with SCAN.

The structure in POSCAR format:
```
ZrBiSN2
1.0
4.191 0.000 0.000
0.000 4.191 0.000
0.000 0.000 5.024
Zr Bi S N
1 1 1 2
direct
0.000 0.000 0.000
0.500 0.500 0.500
0.500 0.500 0.000
0.000 0.500 0.500
0.500 0.000 0.500
```

Its formation energy from raw total energies is 1.156 eV per atom.

---

CuSbRu2 at its PBEsol-relaxed geometry, computed with SCAN.

The structure in POSCAR format:
```
CuSbRu2
1.0
1.499 0.865 7.818
-1.499 0.865 7.818
0.000 -1.730 7.818
Cu Sb Ru
1 1 2
direct
0.000 0.000 0.000
0.500 0.500 0.500
0.251 0.251 0.251
0.749 0.749 0.749
```

Its formation energy from raw total energies is 0.447 eV per atom.

---

Ca2ScPb at its PBEsol-relaxed geometry, computed with SCAN.

The structure in POSCAR format:
```
Ca2ScPb
1.0
-2.319 2.319 5.164
2.319 -2.319 5.164
2.319 2.319 -5.164
Ca Sc Pb
2 1 1
direct
0.250 0.750 0.500
0.750 0.250 0.500
0.000 0.000 0.000
0.500 0.500 0.000
```

The calculated formation energy comes out at -1.10 eV/f.u.

---

Li2ScSn at its PBEsol-relaxed geometry, computed with SCAN.

The structure in POSCAR format:
```
Li2ScSn
1.0
-2.053 2.053 10.244
2.053 -2.053 10.244
2.053 2.053 -10.244
Li Sc Sn
4 2 2
direct
0.082 0.625 0.957
0.375 0.332 0.457
0.668 0.125 0.043
0.875 0.918 0.543
0.250 0.750 0.500
0.500 0.500 0.000
0.000 0.000 0.000
0.750 0.250 0.500
```

The calculated formation energy comes out at -0.75 eV/f.u.

---

La2Sn5Rh3 at its PBEsol-relaxed geometry, computed with SCAN.

The structure in POSCAR format:
```
La2Sn5Rh3
1.0
-5.403 6.430 3.171
5.403 -6.430 3.171
5.403 6.430 -3.171
La Sn Rh
4 10 6
direct
0.144 0.228 0.372
0.356 0.728 0.084
0.644 0.272 0.916
0.856 0.772 0.628
0.029 0.750 0.279
0.087 0.668 0.755
0.250 0.250 0.000
0.413 0.168 0.582
0.471 0.750 0.721
0.529 0.250 0.279
0.587 0.832 0.418
0.750 0.750 0.000
0.913 0.332 0.245
0.971 0.250 0.721
0.142 0.895 0.037
0.250 0.750 0.500
0.358 0.395 0.754
0.642 0.605 0.246
0.750 0.250 0.500
0.858 0.105 0.963
```

The calculated formation energy comes out at -8.35 eV/f.u.

---

ReMo2Se at its PBEsol-relaxed geometry, computed with SCAN.

The structure in POSCAR format:
```
ReMo2Se
1.0
3.681 0.000 0.000
0.000 3.681 0.000
0.000 0.000 4.493
Re Mo Se
1 2 1
direct
0.000 0.000 0.000
0.000 0.500 0.500
0.500 0.000 0.500
0.500 0.500 0.000
```

Its formation energy from raw total energies is 0.733 eV per atom.

---

AlP2RhS at its PBEsol-relaxed geometry, computed with SCAN.

The structure in POSCAR format:
```
AlP2RhS
1.0
4.457 0.000 0.000
0.000 4.457 0.000
0.000 0.000 4.431
Al P Rh S
1 2 1 1
direct
0.000 0.000 0.000
0.000 0.500 0.000
0.500 0.000 0.000
0.500 0.500 0.500
0.000 0.000 0.500
```

Its formation energy from raw total energies is 0.829 eV per atom.

---

GaAgBr2 at its PBEsol-relaxed geometry, computed with SCAN.

The structure in POSCAR format:
```
GaAgBr2
1.0
0.000 3.563 3.563
3.563 0.000 3.563
3.563 3.563 0.000
Ga Ag Br
1 1 2
direct
0.000 0.000 0.000
0.500 0.500 0.500
0.250 0.250 0.250
0.750 0.750 0.750
```

Its formation energy from raw total energies is -0.265 eV per atom.

---

TaCr2Os at its PBEsol-relaxed geometry, computed with SCAN.

The structure in POSCAR format:
```
TaCr2Os
1.0
3.024 0.000 0.000
0.000 4.248 0.000
0.000 0.000 4.291
Ta Cr Os
1 2 1
direct
0.000 0.000 0.000
0.000 0.500 0.500
0.500 0.500 0.000
0.500 0.000 0.500
```

The relative energy among the computed polymorphs is 0 meV per atom. The calculated formation energy comes out at -0.73 eV/f.u.

---

| no. | energy (eV per atom) |
| --- | --- |
| 1 | -14.884 |
| 2 | -18.269 |
| 3 | -31.737 |
| 4 | -16.001 |
| 5 | -18.785 |
| 6 | -10.132 |
| 7 | -44.454 |
| 8 | -15.976 |
| 9 | -28.434 |
| 10 | -27.058 |
| 11 | -15.710 |
| 12 | -26.342 |
| 13 | -30.081 |
| 14 | -27.612 |
| 15 | -13.922 |
| 16 | -37.548 |
| 17 | -39.503 |
| 18 | -13.561 |
| 19 | -21.923 |
| 20 | -43.991 |